(A)
VASP calculation (PBE) on HfMg6W after structural relaxation.

Cell and atoms, written as POSCAR:
```
HfMg6W
1.0
-0.1943 4.4381 4.5013
-4.9287 -1.9782 -3.4338
-0.9832 -3.5468 3.4546
Mg Hf W
6 1 1
Cartesian
-1.4160 -0.6752 2.5918
-4.2785 1.3247 0.1423
-4.1041 -0.8606 -2.0517
-1.6397 0.0576 -0.4075
-1.6653 2.4445 2.0358
-3.9772 0.5546 3.1254
-3.8801 -1.6642 0.8750
-1.4976 1.5646 4.8682
```

The calculation puts the volume at 164.2 Å³ per cell.

---

(B)
VASP calculation (PBE) on HfMg6W after structural relaxation.

Cell and atoms, written as POSCAR:
```
HfMg6W
1.0
-5.6955 2.3426 1.4677
2.2507 -0.0133 -5.9174
-2.0111 -4.4164 -0.7549
Mg Hf W
6 1 1
Cartesian
-5.3542 -0.2649 -0.1615
-0.2898 0.4184 -1.6755
-3.1044 1.5744 -0.9405
-4.1886 -0.2741 -3.2131
-1.9835 1.5635 -3.8631
-2.4163 -1.4724 -0.9238
-1.1572 -1.5093 -4.0622
0.6922 0.4487 -4.4690
```

The calculation puts the volume at 166.0 Å³ per cell.

---

Verdict on stability: (B) comes out on top.

---

(A)
VASP calculation (PBE) on Y3HfMg after structural relaxation.

Cell and atoms, written as POSCAR:
```
Y3HfMg
1.0
5.5910 0.0000 0.0000
0.0000 5.5910 0.0000
0.0000 0.0000 5.5910
Hf Y Mg
1 3 1
Cartesian
0.0000 0.0000 0.0000
0.0000 2.7955 0.0000
0.0000 0.0000 2.7955
2.7955 0.0000 0.0000
2.7955 2.7955 2.7955
```

The calculation puts the volume at 174.8 Å³ per cell.

---

(B)
VASP calculation (PBE) on Y3HfMg after structural relaxation.

Cell and atoms, written as POSCAR:
```
Y3HfMg
1.0
5.4749 0.0000 0.0000
0.0000 5.4749 0.0000
0.0000 0.0000 5.4749
Hf Y Mg
1 3 1
Cartesian
2.7375 2.7375 2.7375
0.0000 0.0000 2.7375
0.0000 2.7375 0.0000
2.7375 0.0000 0.0000
0.0000 0.0000 0.0000
```

The calculation puts the volume at 164.1 Å³ per cell.

---

Verdict on stability: (A) comes out on top.

---

(A)
VASP calculation (PBE) on YHf3Mg after structural relaxation.

Cell and atoms, written as POSCAR:
```
YHf3Mg
1.0
5.2152 0.0000 0.0000
0.0000 5.2152 0.0000
0.0000 0.0000 5.2152
Hf Y Mg
3 1 1
Cartesian
0.0000 2.6076 0.0000
0.0000 0.0000 2.6076
2.6076 0.0000 0.0000
0.0000 0.0000 0.0000
2.6076 2.6076 2.6076
```

The calculation puts the volume at 141.8 Å³ per cell.

---

(B)
VASP calculation (PBE) on YHf3Mg after structural relaxation.

Cell and atoms, written as POSCAR:
```
YHf3Mg
1.0
-1.5793 4.7523 -1.0961
0.2194 -1.0818 -5.0061
-4.8721 -1.5891 0.1298
Hf Mg Y
3 1 1
Cartesian
-0.7896 2.3761 -0.5481
-2.4361 -0.7946 0.0649
0.1097 -0.5409 -2.5031
0.0000 0.0000 0.0000
-3.1160 1.0407 -2.9862
```

The calculation puts the volume at 134.7 Å³ per cell.

---

Verdict on stability: (B) comes out on top.

---

(A)
VASP calculation (PBE) on HfMg2Zn2 after structural relaxation.

Cell and atoms, written as POSCAR:
```
HfMg2Zn2
1.0
-1.9680 0.8462 7.6946
7.4389 -1.9895 2.1214
0.7662 2.7510 -0.1066
Hf Zn Mg
2 4 4
Cartesian
2.7354 -0.5717 4.9080
0.0000 0.0000 0.0000
5.0536 0.1820 2.7138
1.0344 1.3056 2.8252
1.1835 1.4257 6.9956
5.2027 0.3020 6.8842
2.5301 -0.6363 1.7653
-0.2923 0.2785 5.0883
5.7632 -1.4219 4.7276
2.9408 -0.5071 8.0507
```

The calculation puts the volume at 182.3 Å³ per cell.

---

(B)
VASP calculation (PBE) on HfMg2Zn2 after structural relaxation.

Cell and atoms, written as POSCAR:
```
HfMg2Zn2
1.0
-4.5544 -6.1867 1.2456
2.0685 -0.0122 7.5027
-2.3588 1.8680 0.6533
Zn Mg Hf
4 4 2
Cartesian
-2.6763 -5.4060 5.7943
-2.5940 -3.8832 1.7375
0.1903 -0.7928 2.9541
0.1080 -2.3156 7.0108
-4.2740 -4.1973 3.8257
-2.3226 -1.1021 2.0209
-2.5222 -3.2287 7.3808
-0.5708 -0.1335 5.5760
0.0000 0.0000 0.0000
-1.2430 -3.0994 4.3742
```

The calculation puts the volume at 186.5 Å³ per cell.

---

(C)
VASP calculation (PBE) on HfMg2Zn2 after structural relaxation.

Cell and atoms, written as POSCAR:
```
HfMg2Zn2
1.0
-0.2050 -1.6383 3.6119
-1.6078 -3.2719 -1.5753
4.5409 -4.7742 0.2755
Mg Zn Hf
2 2 1
Cartesian
1.0134 -5.2506 -0.1407
1.7147 -4.4338 2.4529
0.1550 -2.9070 0.8736
2.5731 -6.7775 1.4385
0.0000 0.0000 0.0000
```

The calculation puts the volume at 94.1 Å³ per cell.

---

Verdict on stability: (B) comes out on top.